CaSc2VO6: optimized geometry, PBE with a Hubbard U.

a = 5.3486 Å, b = 5.4017 Å, c = 5.7147 Å
α = 62.00°, β = 62.80°, γ = 60.50°
Closest atoms and distances in Å follow each position.
Space group P1 (No. 1)
One atom of each set of equivalent atoms:
Ca  0.0000  0.0000  0.0000 [1 per cell]  4 O 2.24-2.46
Sc  0.2171  0.2109  0.3474 [1 per cell]  5 O 2.04-2.20
Sc  0.7204  0.7295  0.8229 [1 per cell]  6 O 2.07-2.22
V  0.5183  0.5255  0.4353 [1 per cell]  6 O 1.88-2.05
O  0.1295  0.7928  0.6258 [1 per cell]  1 V 2.01, 2 Sc 2.07-2.20
O  0.3544  0.5726  0.1614 [1 per cell]  1 V 1.99, 2 Sc 2.06-2.22
O  0.4309  0.1357  0.6316 [1 per cell]  1 V 2.05, 2 Sc 2.09-2.18
O  0.5700  0.9128  0.1523 [1 per cell]  1 V 2.01, 2 Sc 2.04-2.18
O  0.7718  0.4426  0.6269 [1 per cell]  1 V 1.88
O  0.9078  0.3596  0.1522 [1 per cell]  2 Sc 2.04-2.18, 1 V 2.05, 1 Ca 2.24

Values from the calculation:
The value obtained for the size of the total moment is 1.00 μB/f.u. Its uncorrected energy is -81.4 eV/f.u.